Entry 1:
{
  "formula": "CeGd2Ag",
  "functional": "PBE",
  "state": "relaxed",
  "sg": "Fm-3m",
  "total_magnetization_mub_per_cell": 17.503,
  "e_tot_ev_per_atom": -9.1577,
  "cell": [[5.352, 0.000, 0.000], [2.676, 4.635, 0.000], [2.676, 1.545, 4.370]],
  "species": ["Gd", "Gd", "Ag", "Ce"],
  "fractional_positions": [[0.250, 0.250, 0.250], [0.750, 0.750, 0.750], [0.500, 0.500, 0.500], [0.000, 0.000, 0.000]]
}

=====

Entry 2:
{
  "formula": "CeGd2Ag",
  "functional": "PBE",
  "state": "relaxed",
  "sg": "R-3m",
  "total_magnetization_mub_per_cell": 14.046,
  "e_tot_ev_per_atom": -8.9833,
  "cell": [[-2.528, 0.793, 2.141], [-0.098, -1.389, 3.109], [5.360, 8.567, 5.863]],
  "species": ["Gd", "Gd", "Ag", "Ce"],
  "fractional_positions": [[0.913, 0.913, 0.260], [0.087, 0.087, 0.740], [0.000, 0.000, 0.000], [0.500, 0.500, 0.500]]
}

=====

Entry 3:
{
  "formula": "CeGd2Ag",
  "functional": "PBE",
  "state": "relaxed",
  "sg": "P4/mmm",
  "total_magnetization_mub_per_cell": 15.857,
  "e_tot_ev_per_atom": -9.2247,
  "cell": [[3.562, 0.000, 0.000], [0.000, 5.504, 0.000], [0.000, 0.000, 5.504]],
  "species": ["Ce", "Ag", "Gd", "Gd"],
  "fractional_positions": [[0.500, 0.000, 0.000], [0.500, 0.500, 0.500], [0.000, 0.500, 0.000], [0.000, 0.000, 0.500]]
}

=====

Entry 4:
{
  "formula": "CeGdAgGe",
  "functional": "PBE",
  "state": "relaxed",
  "sg": "F-43m",
  "total_magnetization_mub_per_cell": 8.915,
  "e_tot_ev_per_atom": -7.3269,
  "cell": [[5.176, 0.000, 0.000], [2.588, 4.482, 0.000], [2.588, 1.494, 4.226]],
  "species": ["Gd", "Ge", "Ce", "Ag"],
  "fractional_positions": [[0.500, 0.500, 0.500], [0.250, 0.250, 0.250], [0.000, 0.000, 0.000], [0.750, 0.750, 0.750]]
}

=====

Entry 5:
{
  "formula": "CeGdAgHg",
  "functional": "PBE",
  "state": "relaxed",
  "sg": "F-43m",
  "total_magnetization_mub_per_cell": 6.512,
  "e_tot_ev_per_atom": -6.0651,
  "cell": [[-0.788, 0.050, -5.248], [4.118, -0.518, -3.307], [0.597, -4.458, -2.816]],
  "species": ["Hg", "Ce", "Ag", "Gd"],
  "fractional_positions": [[0.750, 0.750, 0.750], [0.000, 0.000, 0.000], [0.250, 0.250, 0.250], [0.500, 0.500, 0.500]]
}

=====

Entry 6:
{
  "formula": "CeGdInAg",
  "functional": "PBE",
  "state": "relaxed",
  "sg": "F-43m",
  "total_magnetization_mub_per_cell": 8.622,
  "e_tot_ev_per_atom": -6.6852,
  "cell": [[5.341, 0.000, 0.000], [2.671, 4.626, 0.000], [2.671, 1.542, 4.361]],
  "species": ["Ag", "In", "Ce", "Gd"],
  "fractional_positions": [[0.250, 0.250, 0.250], [0.750, 0.750, 0.750], [0.500, 0.500, 0.500], [0.000, 0.000, 0.000]]
}

=====

Entry 7:
{
  "formula": "CeGdAgOs",
  "functional": "PBE",
  "state": "relaxed",
  "sg": "F-43m",
  "total_magnetization_mub_per_cell": 7.415,
  "e_tot_ev_per_atom": -8.6574,
  "cell": [[-2.774, -4.063, -1.025], [2.033, -4.582, 0.344], [-1.390, -3.094, 3.708]],
  "species": ["Os", "Ce", "Gd", "Ag"],
  "fractional_positions": [[0.750, 0.750, 0.750], [0.000, 0.000, 0.000], [0.500, 0.500, 0.500], [0.250, 0.250, 0.250]]
}

=====

Entry 8:
{
  "formula": "CeGdAgPd",
  "functional": "PBE",
  "state": "relaxed",
  "sg": "F-43m",
  "total_magnetization_mub_per_cell": 8.137,
  "e_tot_ev_per_atom": -7.4442,
  "cell": [[5.133, 0.000, 0.000], [2.566, 4.445, 0.000], [2.566, 1.482, 4.191]],
  "species": ["Ag", "Pd", "Gd", "Ce"],
  "fractional_positions": [[0.750, 0.750, 0.750], [0.250, 0.250, 0.250], [0.000, 0.000, 0.000], [0.500, 0.500, 0.500]]
}

=====

Repeat the first record exactly.
{
  "formula": "CeGd2Ag",
  "functional": "PBE",
  "state": "relaxed",
  "sg": "Fm-3m",
  "total_magnetization_mub_per_cell": 17.503,
  "e_tot_ev_per_atom": -9.1577,
  "cell": [[5.352, 0.000, 0.000], [2.676, 4.635, 0.000], [2.676, 1.545, 4.370]],
  "species": ["Gd", "Gd", "Ag", "Ce"],
  "fractional_positions": [[0.250, 0.250, 0.250], [0.750, 0.750, 0.750], [0.500, 0.500, 0.500], [0.000, 0.000, 0.000]]
}